1.
Entry from Alexandria: crystalline Er3Ge5S12 at its relaxed geometry (PBE).

Cell and atoms, written as POSCAR:
```
Er3Ge5S12
1.0
-11.003 2.891 -6.715
0.462 -12.999 2.309
-0.014 6.516 11.491
Er Ge S
12 20 48
Cartesian
-8.081 -1.891 -2.734
-9.283 -6.404 -2.707
-3.788 -4.592 6.396
-2.698 1.542 2.919
-9.573 2.534 -2.714
-3.841 -5.411 1.798
-6.714 1.820 5.288
-0.982 -6.125 9.800
-7.857 -5.133 4.167
-6.766 1.001 0.690
-1.272 2.813 9.793
-2.474 -1.700 9.820
-1.206 -2.884 2.900
0.231 -6.499 1.155
0.000 0.000 0.000
-4.012 -1.351 -0.504
-5.508 4.704 2.388
-5.271 -5.054 -2.203
-1.034 -6.944 5.202
-8.206 6.245 5.307
-7.969 -3.512 0.717
-4.079 4.347 6.389
-6.476 -7.938 0.697
-5.277 -1.795 3.543
-5.501 1.446 -3.357
-0.007 3.258 5.746
-2.586 -0.079 6.369
-2.349 -9.836 1.778
0.224 -3.241 6.900
-9.521 3.353 1.884
-6.543 -2.240 7.590
-9.349 -0.707 4.186
-7.858 0.616 -4.105
-3.249 -3.418 3.772
-10.430 -0.182 -2.393
-5.808 -0.447 -1.590
-6.152 -3.204 5.556
-10.325 -3.750 -2.995
-3.136 -6.545 4.401
-0.619 -10.722 2.980
-6.104 -6.352 6.079
-7.649 -4.377 -1.373
-8.378 -1.360 0.067
-8.575 -9.169 -2.972
-1.119 -5.476 6.951
-3.872 -3.631 -0.523
-0.560 -9.114 5.736
-4.476 3.357 4.369
-0.892 -0.688 2.352
-4.782 -6.921 -0.449
-8.575 -7.659 -0.161
-1.255 -4.356 1.153
-3.624 -6.368 8.715
-6.253 -3.804 2.197
-9.595 -4.506 1.975
-8.452 4.072 5.968
-4.302 0.213 4.889
-0.960 0.915 5.110
-2.103 -7.663 1.118
-1.979 4.068 7.247
-6.931 2.777 -1.629
-9.300 0.765 5.933
-5.773 3.330 7.535
-6.079 -6.948 2.717
-9.663 -2.903 4.734
-9.995 5.523 1.350
-9.436 1.885 0.135
-1.980 5.578 10.058
-6.683 0.040 7.609
-4.451 2.761 1.007
-2.906 0.786 8.459
-2.177 -2.231 7.018
-9.936 7.131 4.106
-7.419 2.954 2.685
-4.747 -3.143 8.676
-0.230 0.159 10.081
-4.403 -0.387 1.530
-0.124 -3.409 9.479
-7.306 -0.173 3.314
-2.697 -4.207 11.191
```

Output
The space group is Ia-3d, No. 230. The crystal system is cubic. The value obtained for the raw formation energy is -870 meV per atom.

***

2.
Entry from Alexandria: crystalline PaAg2Sn at its relaxed geometry (PBE).

Cell and atoms, written as POSCAR:
```
PaAg2Sn
1.0
-3.508 -2.258 -2.755
1.230 -3.842 -2.953
-1.498 -4.626 1.162
Pa Sn Ag
1 1 2
Cartesian
0.000 0.000 0.000
-1.888 -5.363 -2.273
-0.944 -2.681 -1.136
-2.832 -8.044 -3.409
```

Output
As for the distance to the lowest polymorph of the same formula: 0 meV per atom. The space group is Fm-3m, No. 225. The crystal system is cubic. The calculated formation energy is 0.02 eV per atom.

***

3.
Entry from Alexandria: crystalline Hf2PbAu at its relaxed geometry (PBE).

Cell and atoms, written as POSCAR:
```
Hf2PbAu
1.0
-1.615 -2.352 -1.451
1.171 -2.105 2.109
-6.575 1.399 5.049
Pb Hf Au
1 2 1
Cartesian
-3.509 -1.529 2.853
-5.091 1.083 3.910
-1.484 0.316 1.140
-0.222 -2.229 0.329
```

Output
The space group is P4/mmm, No. 123. The crystal system is tetragonal. The calculated formation energy is -0.15 eV per atom.

***

4.
Entry from Alexandria: crystalline CaGe3P at its relaxed geometry (PBE).

Cell and atoms, written as POSCAR:
```
CaGe3P
1.0
5.345 0.000 0.000
0.000 5.345 0.000
0.000 0.000 5.345
P Ge Ca
1 3 1
Cartesian
2.672 2.672 2.672
0.000 2.672 0.000
0.000 0.000 2.672
2.672 0.000 0.000
0.000 0.000 0.000
```

Output
As for the distance to the lowest polymorph of the same formula: 1193 meV per atom. The space group is Pm-3m, No. 221. The crystal system is cubic. The calculated formation energy is 1.39 eV per atom.

***

5.
Entry from Alexandria: crystalline Ba4SbTe at its relaxed geometry (PBE).

Cell and atoms, written as POSCAR:
```
Ba4SbTe
1.0
0.000 5.004 5.004
5.004 0.000 5.004
5.004 5.004 0.000
Ba Sb Te
4 1 1
Cartesian
3.756 6.252 6.252
6.252 6.252 3.756
6.252 3.756 6.252
3.756 3.756 3.756
7.506 7.506 7.506
0.000 0.000 0.000
```

Output
The space group is F-43m, No. 216. The crystal system is cubic. The value obtained for the raw formation energy is -211 meV per atom.

***

6.
Entry from Alexandria: crystalline EuScInSn at its relaxed geometry (PBE).

Cell and atoms, written as POSCAR:
```
EuScInSn
1.0
5.286 0.000 0.000
2.643 4.578 0.000
2.643 1.526 4.316
Eu Sc Sn In
1 1 1 1
Cartesian
0.000 0.000 0.000
5.286 3.052 2.158
2.643 1.526 1.079
7.929 4.578 3.237
```

Output
The space group is F-43m, No. 216. The crystal system is cubic. The calculated formation energy is -0.46 eV per atom.

***

no.,calculated volume (Å³/atom),total magnetic moment (μB per atom)
1,22.18,0.000
2,22.09,0.133
3,21.54,0.000
4,30.54,0.223
5,41.77,0.000
6,26.11,1.796